1.
VASP calculation (PBE) on an optimized crystal structure of NaBeTc2O8.

Unit cell a=6.6666 b=6.6666 c=7.4240 alpha=121.31 beta=121.31 gamma=46.00
Last column: nearest neighbours and their distance in Å.
Atoms (fractional coordinates):
Na 0.0000 0.0000 0.0000  2 O 2.29
Be 0.5000 0.5000 0.5000  4 O 1.70
Tc 0.1923 0.1923 0.7306  4 O 1.74-1.79
Tc 0.8077 0.8077 0.2694  4 O 1.74-1.79
O 0.1582 0.6107 0.4411  1 Be 1.70, 1 Tc 1.79
O 0.1601 0.1601 0.9322  1 Tc 1.75
O 0.3612 0.3612 0.8485  1 Tc 1.74
O 0.3893 0.8418 0.5589  1 Be 1.70, 1 Tc 1.79
O 0.6107 0.1582 0.4411  1 Be 1.70, 1 Tc 1.79
O 0.6388 0.6388 0.1515  1 Tc 1.74
O 0.8399 0.8399 0.0678  1 Tc 1.75
O 0.8418 0.3893 0.5589  1 Be 1.70, 1 Tc 1.79

As for the energy relative to the elements, uncorrected: -1731 kJ/mol of formula units. The calculation puts the total magnetization at 0.980 Bohr magnetons per cell.


2.
VASP calculation (PBE) on an optimized crystal structure of NaBe2TeO6.

Unit cell a=6.5273 b=6.5273 c=5.3794 alpha=101.41 beta=101.41 gamma=89.27
Last column: nearest neighbours and their distance in Å.
Atoms (fractional coordinates):
Na 0.0791 0.9209 0.7500  6 O 2.24-2.48
Na 0.9209 0.0791 0.2500  6 O 2.24-2.48
Be 0.2256 0.3756 0.8531  4 O 1.61-1.73
Be 0.3756 0.2256 0.3531  4 O 1.61-1.73
Be 0.6244 0.7744 0.6469  4 O 1.61-1.73
Be 0.7744 0.6244 0.1469  4 O 1.61-1.73
Te 0.2850 0.7150 0.2500  6 O 1.94-2.00
Te 0.7150 0.2850 0.7500  6 O 1.94-2.00
O 0.0031 0.2638 0.7089  1 Be 1.61
O 0.2104 0.6299 0.8747  1 Be 1.64
O 0.2638 0.0031 0.2089  1 Be 1.61
O 0.2792 0.4019 0.1853  2 Be 1.64-1.73
O 0.3701 0.7896 0.6253  1 Be 1.64
O 0.4019 0.2792 0.6853  2 Be 1.64-1.73
O 0.5981 0.7208 0.3147  2 Be 1.64-1.73
O 0.6299 0.2104 0.3747  1 Be 1.64
O 0.7208 0.5981 0.8147  2 Be 1.64-1.73
O 0.7362 0.9969 0.7911  1 Be 1.61
O 0.7896 0.3701 0.1253  1 Be 1.64
O 0.9969 0.7362 0.2911  1 Be 1.61

As for the energy relative to the elements, uncorrected: -1555 kJ/mol of formula units. The calculation puts the total magnetization at 2.099 Bohr magnetons per cell.


3.
VASP calculation (PBE) on an optimized crystal structure of Na2BeTeO6.

Unit cell a=5.5260 b=5.5260 c=5.0135 alpha=90.00 beta=90.00 gamma=120.00
Last column: nearest neighbours and their distance in Å.
Atoms (fractional coordinates):
Na 0.3333 0.6667 0.0947  3 O 2.43
Na 0.6667 0.3333 0.9053  3 O 2.43
Be 0.0000 0.0000 0.0000  6 O 1.86
Te 0.0000 0.0000 0.5000  6 O 1.94
O 0.1494 0.2988 0.7618  1 Be 1.86, 1 Te 1.94
O 0.1494 0.8506 0.7618  1 Be 1.86, 1 Te 1.94
O 0.2988 0.1494 0.2382  1 Be 1.86, 1 Te 1.94
O 0.7012 0.8506 0.7618  1 Be 1.86, 1 Te 1.94
O 0.8506 0.1494 0.2382  1 Be 1.86, 1 Te 1.94
O 0.8506 0.7012 0.2382  1 Be 1.86, 1 Te 1.94

As for the energy relative to the elements, uncorrected: -1073 kJ/mol of formula units. The calculation puts the total magnetization at 2.029 Bohr magnetons per cell.


Number 1: calculated volume 16.3 A^3/atom. Number 2: calculated volume 11.0 A^3/atom. Number 3: calculated volume 13.3 A^3/atom.